(1)
Below is a relaxed Ac2ThGe3Pt12 crystal, with properties calculated at the PBE level.

Cell lengths 8.1493, 8.1493, 8.1493 Å; angles 62.14, 62.14, 62.14 degrees
Closest atoms and distances in Å follow each position.
Sites, in units of the cell vectors:
Ac: 0.6030 0.6030 0.6030  6 Pt 2.96-3.02
Ac: 0.3970 0.3970 0.3970  6 Pt 2.96-3.02
Th: 0.0000 0.0000 0.0000  6 Pt 2.76
Ge: 0.5000 0.0000 0.0000  6 Pt 2.43-2.48
Ge: 0.0000 0.5000 0.0000  6 Pt 2.43-2.48
Ge: 0.0000 0.0000 0.5000  6 Pt 2.43-2.48
Pt: 0.3535 0.3535 0.8970  2 Ge 2.43
Pt: 0.8595 0.8595 0.4031  1 Ge 2.48, 1 Th 2.76
Pt: 0.4031 0.8595 0.8595  1 Ge 2.48, 1 Th 2.76
Pt: 0.8970 0.3535 0.3535  2 Ge 2.43
Pt: 0.8595 0.4031 0.8595  1 Ge 2.48, 1 Th 2.76
Pt: 0.3535 0.8970 0.3535  2 Ge 2.43
Pt: 0.6465 0.6465 0.1030  2 Ge 2.43
Pt: 0.1405 0.1405 0.5969  1 Ge 2.48, 1 Th 2.76
Pt: 0.5969 0.1405 0.1405  1 Ge 2.48, 1 Th 2.76
Pt: 0.1030 0.6465 0.6465  2 Ge 2.43
Pt: 0.1405 0.5969 0.1405  1 Ge 2.48, 1 Th 2.76
Pt: 0.6465 0.1030 0.6465  2 Ge 2.43

Computed properties:
ΔH_f (0 K) (eV/f.u.): -7.86
SG: R-3m (166)
M_tot (μB/f.u.): 0.0

---

(2)
Below is a relaxed AcTlGe2Pt5 crystal, with properties calculated at the PBE level.

Cell lengths 4.1288, 4.1288, 11.7543 Å; angles 90.00, 90.00, 90.00 degrees
Closest atoms and distances in Å follow each position.
Sites, in units of the cell vectors:
Ac: 0.0000 0.0000 0.5000  4 Pt 2.92
Tl: 0.0000 0.0000 0.0000  8 Pt 2.94
Ge: 0.5000 0.5000 0.2910  5 Pt 2.46
Ge: 0.5000 0.5000 0.7090  5 Pt 2.46
Pt: 0.0000 0.5000 0.1777  2 Ge 2.46
Pt: 0.5000 0.0000 0.1777  2 Ge 2.46
Pt: 0.0000 0.5000 0.8223  2 Ge 2.46
Pt: 0.5000 0.0000 0.8223  2 Ge 2.46
Pt: 0.5000 0.5000 0.5000  2 Ge 2.46

Computed properties:
ΔH_f (0 K) (eV/f.u.): -4.32
SG: P4/mmm (123)
M_tot (μB/f.u.): 0.0

---

(3)
Below is a relaxed Ac2TlGe4Pt3 crystal, with properties calculated at the PBE level.

Cell lengths 4.5397, 4.5397, 10.6024 Å; angles 90.00, 90.00, 90.00 degrees
Closest atoms and distances in Å follow each position.
Sites, in units of the cell vectors:
Ac: 0.5000 0.0000 0.2403  8 Ge 3.41-3.42, 7 Pt 3.47-3.77, 2 Tl 3.57
Ac: 0.0000 0.5000 0.7597  8 Ge 3.41-3.42, 7 Pt 3.47-3.77, 2 Tl 3.57
Tl: 0.5000 0.5000 0.5000  4 Ge 2.77
Ge: 0.5000 0.5000 0.0000  4 Pt 2.58
Ge: 0.0000 0.0000 0.0000  4 Pt 2.58
Ge: 0.5000 0.0000 0.6491  3 Pt 2.50-2.77, 2 Tl 2.77
Ge: 0.0000 0.5000 0.3509  3 Pt 2.50-2.77, 2 Tl 2.77
Pt: 0.0000 0.0000 0.5000  4 Ge 2.77
Pt: 0.5000 0.0000 0.8852  5 Ge 2.50-2.58
Pt: 0.0000 0.5000 0.1148  5 Ge 2.50-2.58

Computed properties:
ΔH_f (0 K) (eV/f.u.): -7.58
SG: P-4m2 (115)
M_tot (μB/f.u.): 0.0

---

(4)
Below is a relaxed AcTmGe2Pt2 crystal, with properties calculated at the PBE level.

Cell lengths 4.4841, 4.4841, 7.5223 Å; angles 90.00, 90.00, 120.00 degrees
Closest atoms and distances in Å follow each position.
Sites, in units of the cell vectors:
Ac: 0.0000 0.0000 0.0000  6 Ge 3.39, 6 Pt 3.45, 2 Tm 3.76
Tm: 0.0000 0.0000 0.5000  6 Pt 2.98, 6 Ge 3.03
Ge: 0.6667 0.3333 0.7097  3 Pt 2.59
Ge: 0.3333 0.6667 0.2903  3 Pt 2.59
Pt: 0.6667 0.3333 0.3037  3 Ge 2.59
Pt: 0.3333 0.6667 0.6963  3 Ge 2.59

Computed properties:
ΔH_f (0 K) (eV/f.u.): -6.51
SG: P-3m1 (164)
M_tot (μB/f.u.): 0.0

---

(5)
Below is a relaxed Ac2TmGe3Pt12 crystal, with properties calculated at the PBE level.

Cell lengths 7.9961, 7.9961, 7.9961 Å; angles 63.82, 63.82, 63.82 degrees
Closest atoms and distances in Å follow each position.
Sites, in units of the cell vectors:
Ac: 0.6049 0.6049 0.6049  6 Pt 2.97
Ac: 0.3951 0.3951 0.3951  6 Pt 2.97
Tm: 0.0000 0.0000 0.0000  6 Pt 2.68
Ge: 0.5000 0.0000 0.0000  6 Pt 2.44-2.46
Ge: 0.0000 0.5000 0.0000  6 Pt 2.44-2.46
Ge: 0.0000 0.0000 0.5000  6 Pt 2.44-2.46
Pt: 0.3547 0.3547 0.9055  2 Ge 2.44
Pt: 0.8605 0.8605 0.3909  1 Ge 2.46, 1 Tm 2.68
Pt: 0.3909 0.8605 0.8605  1 Ge 2.46, 1 Tm 2.68
Pt: 0.9055 0.3547 0.3547  2 Ge 2.44
Pt: 0.8605 0.3909 0.8605  1 Ge 2.46, 1 Tm 2.68
Pt: 0.3547 0.9055 0.3547  2 Ge 2.44
Pt: 0.6453 0.6453 0.0945  2 Ge 2.44
Pt: 0.1395 0.1395 0.6091  1 Ge 2.46, 1 Tm 2.68
Pt: 0.6091 0.1395 0.1395  1 Ge 2.46, 1 Tm 2.68
Pt: 0.0945 0.6453 0.6453  2 Ge 2.44
Pt: 0.1395 0.6091 0.1395  1 Ge 2.46, 1 Tm 2.68
Pt: 0.6453 0.0945 0.6453  2 Ge 2.44

Computed properties:
ΔH_f (0 K) (eV/f.u.): -7.61
SG: R-3m (166)
M_tot (μB/f.u.): 0.0

---

(6)
Below is a relaxed AcTm2Ge2Pt7 crystal, with properties calculated at the PBE level.

Cell lengths 4.1462, 4.1462, 14.2044 Å; angles 82.50, 82.50, 88.39 degrees
Closest atoms and distances in Å follow each position.
Sites, in units of the cell vectors:
Ac: 0.0000 0.0000 0.0000  12 Pt 2.89-3.18
Tm: 0.8650 0.8650 0.3627  4 Pt 2.92-3.07, 3 Ge 3.10-3.19
Tm: 0.1350 0.1350 0.6373  4 Pt 2.92-3.07, 3 Ge 3.10-3.19
Ge: 0.6222 0.6222 0.7327  5 Pt 2.39-2.47
Ge: 0.3778 0.3778 0.2673  5 Pt 2.39-2.47
Pt: 0.5000 0.5000 0.0000  4 Ac 2.89-2.97, 8 Pt 3.15-3.18
Pt: 0.3613 0.3613 0.4367  1 Ge 2.39, 1 Pt 2.65
Pt: 0.6387 0.6387 0.5633  1 Ge 2.39, 1 Pt 2.65
Pt: 0.9193 0.4210 0.1712  2 Ge 2.47
Pt: 0.4210 0.9193 0.1712  2 Ge 2.47
Pt: 0.5790 0.0807 0.8288  2 Ge 2.47
Pt: 0.0807 0.5790 0.8288  2 Ge 2.47

Computed properties:
ΔH_f (0 K) (eV/f.u.): -10.11
SG: C2/m (12)
M_tot (μB/f.u.): 0.0

---

(7)
Below is a relaxed Ac2UGe3Pt4 crystal, with properties calculated at the PBE level.

Cell lengths 4.4564, 4.4564, 11.1230 Å; angles 90.00, 90.00, 90.00 degrees
Closest atoms and distances in Å follow each position.
Sites, in units of the cell vectors:
Ac: 0.5000 0.0000 0.2295  8 Pt 3.39-3.41, 6 Ge 3.39-3.74, 2 U 3.74
Ac: 0.0000 0.5000 0.7705  8 Pt 3.39-3.41, 6 Ge 3.39-3.74, 2 U 3.74
U: 0.5000 0.5000 0.5000  4 Pt 2.81
Ge: 0.0000 0.0000 0.5000  4 Pt 2.81
Ge: 0.5000 0.0000 0.8832  5 Pt 2.54-2.58
Ge: 0.0000 0.5000 0.1168  5 Pt 2.54-2.58
Pt: 0.5000 0.5000 0.0000  4 Ge 2.58
Pt: 0.0000 0.0000 0.0000  4 Ge 2.58
Pt: 0.5000 0.0000 0.6544  3 Ge 2.54-2.81, 2 U 2.81
Pt: 0.0000 0.5000 0.3456  3 Ge 2.54-2.81, 2 U 2.81

Computed properties:
ΔH_f (0 K) (eV/f.u.): -8.32
SG: P-4m2 (115)
M_tot (μB/f.u.): 2.4

---

(8)
Below is a relaxed Ac2UGe4Pt3 crystal, with properties calculated at the PBE level.

Cell lengths 4.4336, 4.4336, 11.3988 Å; angles 90.00, 90.00, 90.00 degrees
Closest atoms and distances in Å follow each position.
Sites, in units of the cell vectors:
Ac: 0.5000 0.0000 0.2308  8 Ge 3.37-3.44, 4 Pt 3.41
Ac: 0.0000 0.5000 0.7692  8 Ge 3.37-3.44, 4 Pt 3.41
U: 0.5000 0.5000 0.5000  4 Ge 2.88, 4 Pt 3.14
Ge: 0.5000 0.5000 0.0000  4 Pt 2.57
Ge: 0.0000 0.0000 0.0000  4 Pt 2.57
Ge: 0.5000 0.0000 0.6616  1 Pt 2.56
Ge: 0.0000 0.5000 0.3384  1 Pt 2.56
Pt: 0.0000 0.0000 0.5000  4 Ge 2.88, 4 U 3.14
Pt: 0.5000 0.0000 0.8862  5 Ge 2.56-2.57
Pt: 0.0000 0.5000 0.1138  5 Ge 2.56-2.57

Computed properties:
ΔH_f (0 K) (eV/f.u.): -7.41
SG: P-4m2 (115)
M_tot (μB/f.u.): 2.2

---

(9)
Below is a relaxed Ac2VGe4Pt3 crystal, with properties calculated at the PBE level.

Cell lengths 4.3965, 4.3965, 10.6693 Å; angles 90.00, 90.00, 90.00 degrees
Closest atoms and distances in Å follow each position.
Sites, in units of the cell vectors:
Ac: 0.5000 0.0000 0.2457  6 Pt 3.36-3.49, 8 Ge 3.38-3.42, 2 V 3.49
Ac: 0.0000 0.5000 0.7543  6 Pt 3.36-3.49, 8 Ge 3.38-3.42, 2 V 3.49
V: 0.5000 0.5000 0.5000  4 Ge 2.59
Ge: 0.5000 0.5000 0.0000  4 Pt 2.57
Ge: 0.0000 0.0000 0.0000  4 Pt 2.57
Ge: 0.5000 0.0000 0.6289  2 V 2.59, 3 Pt 2.59-2.62
Ge: 0.0000 0.5000 0.3711  2 V 2.59, 3 Pt 2.59-2.62
Pt: 0.0000 0.0000 0.5000  4 Ge 2.59
Pt: 0.5000 0.0000 0.8744  5 Ge 2.57-2.62
Pt: 0.0000 0.5000 0.1256  5 Ge 2.57-2.62

Computed properties:
ΔH_f (0 K) (eV/f.u.): -8.29
SG: P-4m2 (115)
M_tot (μB/f.u.): 1.8

---

(10)
Below is a relaxed AcYGe2Pt2 crystal, with properties calculated at the PBE level.

Cell lengths 4.4919, 4.4919, 7.6244 Å; angles 90.00, 90.00, 120.00 degrees
Closest atoms and distances in Å follow each position.
Sites, in units of the cell vectors:
Ac: 0.0000 0.0000 0.0000  6 Ge 3.39, 6 Pt 3.43
Y: 0.0000 0.0000 0.5000  6 Pt 3.03, 6 Ge 3.06
Ge: 0.6667 0.3333 0.7131  3 Pt 2.59
Ge: 0.3333 0.6667 0.2869  3 Pt 2.59
Pt: 0.6667 0.3333 0.2952  3 Ge 2.59
Pt: 0.3333 0.6667 0.7048  3 Ge 2.59

Computed properties:
ΔH_f (0 K) (eV/f.u.): -6.41
SG: P-3m1 (164)
M_tot (μB/f.u.): 0.0

---

(11)
Below is a relaxed AcYGePt crystal, with properties calculated at the PBE level.

Cell lengths 5.2496, 5.2496, 5.2496 Å; angles 60.00, 60.00, 60.00 degrees
Closest atoms and distances in Å follow each position.
Sites, in units of the cell vectors:
Y: 0.5000 0.5000 0.5000  4 Ge 3.21, 4 Pt 3.21
Ac: 0.0000 0.0000 0.0000  4 Ge 3.21, 4 Pt 3.21
Ge: 0.2500 0.2500 0.2500  4 Ac 3.21, 4 Y 3.21
Pt: 0.7500 0.7500 0.7500  4 Y 3.21, 4 Ac 3.21

Computed properties:
ΔH_f (0 K) (eV/f.u.): -3.21
SG: F-43m (216)
M_tot (μB/f.u.): 0.0

---

(12)
Below is a relaxed Ac2YGe4Pt3 crystal, with properties calculated at the PBE level.

Cell lengths 4.4391, 4.4391, 11.3219 Å; angles 90.00, 90.00, 90.00 degrees
Closest atoms and distances in Å follow each position.
Sites, in units of the cell vectors:
Ac: 0.5000 0.0000 0.2315  8 Ge 3.38-3.43, 6 Pt 3.41-3.76, 2 Y 3.76
Ac: 0.0000 0.5000 0.7685  8 Ge 3.38-3.43, 6 Pt 3.41-3.76, 2 Y 3.76
Y: 0.5000 0.5000 0.5000  4 Ge 2.86, 4 Pt 3.14
Ge: 0.5000 0.5000 0.0000  4 Pt 2.57
Ge: 0.0000 0.0000 0.0000  4 Pt 2.57
Ge: 0.5000 0.0000 0.6589  3 Pt 2.56-2.86, 2 Y 2.86
Ge: 0.0000 0.5000 0.3411  3 Pt 2.56-2.86, 2 Y 2.86
Pt: 0.0000 0.0000 0.5000  4 Ge 2.86, 4 Y 3.14
Pt: 0.5000 0.0000 0.8853  5 Ge 2.56-2.57
Pt: 0.0000 0.5000 0.1147  5 Ge 2.56-2.57

Computed properties:
ΔH_f (0 K) (eV/f.u.): -9.33
SG: P-4m2 (115)
M_tot (μB/f.u.): 0.0

---

Number 7 is which compound? Ac2UGe3Pt4